The following is a DFT calculation (PBE) of crystalline PmEu2Ga at its relaxed geometry.

Values from the calculation:
offset from the most stable computed form = 165 meV/atom
DFT formation energy = -11 meV/atom

a = 7.8203 Å, b = 7.8203 Å, c = 7.8203 Å
α = 90.00°, β = 90.00°, γ = 90.00°
Closest atoms and distances in Å follow each position.
Space group Fm-3m (No. 225)
Asymmetric unit:
Pm: 0.0000 0.0000 0.0000  8 Eu 3.39
Eu: 0.2500 0.2500 0.2500  4 Pm 3.39, 4 Ga 3.39
Ga: 0.0000 0.0000 0.5000  8 Eu 3.39